(1)
Ta2FeIr after structural relaxation. Source: Alexandria, functional PBE.

Cell lengths 4.0164, 4.0164, 9.1055 Å; angles 77.26, 77.26, 90.00 degrees
With the nearest neighbours (Å) after each atom.
Fractional coordinates of all 8 atoms:
Ir 0.0000 0.0000 0.0000  4 Ta 2.60, 4 Fe 2.84
Ir 0.7500 0.2500 0.5000  4 Ta 2.60, 4 Fe 2.84
Fe 0.5000 0.5000 0.0000  4 Ta 2.58, 4 Ir 2.84
Fe 0.2500 0.7500 0.5000  4 Ta 2.58, 4 Ir 2.84
Ta 0.6179 0.1250 0.2500  2 Fe 2.58, 2 Ir 2.60, 4 Ta 2.80-2.88
Ta 0.1321 0.6250 0.2500  2 Fe 2.58, 2 Ir 2.60, 4 Ta 2.80-2.88
Ta 0.3750 0.3821 0.7500  2 Fe 2.58, 2 Ir 2.60, 4 Ta 2.80-2.88
Ta 0.8750 0.8679 0.7500  2 Fe 2.58, 2 Ir 2.60, 4 Ta 2.80-2.88

## Properties
Energy of formation from the pure elements in eV/atom: 0.48
D(E_F) in states/eV/cell: 4.99
Uncorrected energy in eV per atom: -9.781



(2)
HoZrAu after structural relaxation. Source: Alexandria, functional PBE.

Cell lengths 4.4007, 4.4007, 7.4464 Å; angles 90.00, 90.00, 90.00 degrees
With the nearest neighbours (Å) after each atom.
Fractional coordinates of all 6 atoms:
Ho 0.0000 0.5000 0.8565  1 Au 2.83
Ho 0.5000 0.0000 0.1435  1 Au 2.83
Au 0.0000 0.5000 0.2365  1 Ho 2.83, 4 Zr 2.95
Au 0.5000 0.0000 0.7635  1 Ho 2.83, 4 Zr 2.95
Zr 0.5000 0.5000 0.5000  4 Au 2.95, 4 Zr 3.11
Zr 0.0000 0.0000 0.5000  4 Au 2.95, 4 Zr 3.11

## Properties
Energy of formation from the pure elements in eV/atom: -0.47
Offset from the most stable computed form in eV per atom: 0.000
D(E_F) in states/eV/cell: 7.86
Uncorrected energy in eV per atom: -5.940



(3)
Pr6DyMg after structural relaxation. Source: Alexandria, functional PBE.

Cell lengths 5.1198, 5.1198, 10.3267 Å; angles 90.00, 90.00, 90.00 degrees
With the nearest neighbours (Å) after each atom.
Fractional coordinates of all 8 atoms:
Pr 0.5000 0.5000 0.0000  8 Pr 3.62, 4 Mg 3.62
Pr 0.5000 0.5000 0.5000  4 Dy 3.62, 8 Pr 3.66
Pr 0.5000 0.0000 0.2473  8 Pr 3.62-3.66, 2 Mg 3.62, 2 Dy 3.66
Pr 0.5000 0.0000 0.7527  8 Pr 3.62-3.66, 2 Mg 3.62, 2 Dy 3.66
Pr 0.0000 0.5000 0.2473  8 Pr 3.62-3.66, 2 Mg 3.62, 2 Dy 3.66
Pr 0.0000 0.5000 0.7527  8 Pr 3.62-3.66, 2 Mg 3.62, 2 Dy 3.66
Dy 0.0000 0.0000 0.5000  12 Pr 3.62-3.66
Mg 0.0000 0.0000 0.0000  12 Pr 3.62

## Properties
Energy of formation from the pure elements in eV/atom: 0.00
Offset from the most stable computed form in eV per atom: 0.000
D(E_F) in states/eV/cell: 9.06
Uncorrected energy in eV per atom: -4.362